No. 1
{
  "formula": "Tb2PmDy4Y2",
  "functional": "PBE",
  "state": "relaxed",
  "spacegroup": "No. 12",
  "delta_e_f_ev_per_atom": 0.02,
  "rho_g_cm3": 7.4,
  "crystal_system": "monoclinic",
  "final_energy_ev_per_cell": -45.13,
  "lattice_angstrom": [[8.592, -1.788, 0.000], [8.592, 1.788, 0.000], [-1.859, 0.000, 9.465]],
  "species": ["Tb", "Tb", "Pm", "Dy", "Dy", "Dy", "Dy", "Y", "Y"],
  "fractional_positions": [[0.164, 0.164, 0.420], [0.836, 0.836, 0.580], [0.500, 0.500, 0.500], [0.016, 0.016, 0.827], [0.323, 0.323, 0.261], [0.677, 0.677, 0.739], [0.984, 0.984, 0.173], [0.346, 0.346, 0.912], [0.654, 0.654, 0.088]]
}

---

No. 2
{
  "formula": "CuHg3Sb",
  "functional": "PBE",
  "state": "relaxed",
  "de_polymorph_mev_per_atom": 274,
  "spacegroup": "No. 221",
  "rho_g_cm3": 7.2,
  "crystal_system": "cubic",
  "final_energy_ev_per_cell": -5.99,
  "formation_energy_uncorrected_ev_per_atom": 0.628,
  "lattice_angstrom": [[5.675, 0.000, 0.000], [0.000, 5.675, 0.000], [0.000, 0.000, 5.675]],
  "species": ["Cu", "Hg", "Hg", "Hg", "Sb"],
  "fractional_positions": [[0.000, 0.000, 0.000], [0.000, 0.500, 0.500], [0.500, 0.000, 0.500], [0.500, 0.500, 0.000], [0.500, 0.500, 0.500]]
}